1.
The following is a DFT calculation (PBE) of crystalline FeSbAuI2 at its relaxed geometry.

Cell lengths 5.310, 5.310, 4.832 Å; angles 90.00, 90.00, 90.00 degrees
Space group P4/mmm (No. 123)
Asymmetric unit:
Fe 0.000 0.000 0.000 (multiplicity 1)
Sb 0.000 0.000 0.500 (multiplicity 1)
Au 0.500 0.500 0.500 (multiplicity 1)
I 0.000 0.500 0.000 (multiplicity 2)

Output
- DOS(E_F): 5.1 states/eV/cell
- Formation energy (no corrections): 0.62 eV/atom

---

2.
The following is a DFT calculation (PBE) of crystalline KSi2Mo at its relaxed geometry.

Cell lengths 4.345, 4.345, 4.122 Å; angles 90.00, 90.00, 90.00 degrees
Space group P4/mmm (No. 123)
Asymmetric unit:
K 0.000 0.000 0.000 (multiplicity 1)
Si 0.000 0.500 0.500 (multiplicity 2)
Mo 0.500 0.500 0.000 (multiplicity 1)

Output
- DOS(E_F): 2.3 states/eV/cell
- Formation energy (no corrections): 1.12 eV/atom

---

3.
The following is a DFT calculation (PBE) of crystalline DyAg6Au2 at its relaxed geometry.

Cell lengths 14.643, 8.133, 2.996 Å; angles 90.00, 101.30, 90.00 degrees
Space group C2/m (No. 12)
Asymmetric unit:
Dy 0.000 0.000 0.000 (multiplicity 2)
Ag 0.000 0.330 0.500 (multiplicity 4)
Ag 0.173 0.175 0.674 (multiplicity 8)
Au 0.153 0.500 0.151 (multiplicity 4)

Output
- DFT total energy: -3.1585 eV per atom
- DOS(E_F): 7.1 states/eV/cell

---

4.
The following is a DFT calculation (PBE) of crystalline SiOsCl2 at its relaxed geometry.

Cell lengths 2.938, 4.009, 6.008 Å; angles 90.00, 90.00, 90.00 degrees
Space group Pmmm (No. 47)
Asymmetric unit:
Si 0.000 0.000 0.000 (multiplicity 1)
Os 0.000 0.000 0.500 (multiplicity 1)
Cl 0.500 0.500 0.260 (multiplicity 2)

Output
- DOS(E_F): 2.9 states/eV/cell
- Formation energy (no corrections): 1.25 eV/atom